1.
## BaTa2Te (PBEsol)

Data for a relaxed structure of BaTa2Te.

Structure (POSCAR):
```
BaTa2Te
1.0
4.394 0.000 0.000
0.000 4.394 0.000
-2.197 -2.197 4.830
Ta Ba Te
2 1 1
Cartesian
0.000 2.197 2.415
2.197 0.000 2.415
0.000 0.000 0.000
2.197 2.197 0.000
```

Results
Symmetry ... I4/mmm
Final energy ... -6.77 eV/atom

***

2.
## BaTa2Te (PBEsol)

Data for a relaxed structure of BaTa2Te.

Structure (POSCAR):
```
BaTa2Te
1.0
-1.755 0.383 -3.207
-2.521 -2.444 1.088
-4.020 5.413 2.847
Ta Ba Te
2 1 1
Cartesian
-3.326 4.479 2.356
-0.694 0.934 0.491
-4.148 1.676 0.364
-2.138 -1.030 -1.059
```

Results
Symmetry ... P4/mmm
Final energy ... -7.10 eV/atom

***

3.
## BaTa2Te (PBEsol)

Data for a relaxed structure of BaTa2Te.

Structure (POSCAR):
```
BaTa2Te
1.0
3.274 0.000 0.000
0.000 5.826 0.000
-1.637 -2.913 5.365
Ta Te Ba
2 1 1
Cartesian
1.637 0.000 2.589
0.000 0.000 0.503
0.000 0.000 4.944
0.000 2.913 2.694
```

Results
Symmetry ... Imm2
Final energy ... -7.03 eV/atom

***

4.
## BaTaZn2Te (PBEsol)

Data for a relaxed structure of BaTaZn2Te.

Structure (POSCAR):
```
BaTaZn2Te
1.0
5.584 0.000 0.000
0.000 5.584 0.000
0.000 0.000 6.237
Zn Ta Te Ba
2 1 1 1
Cartesian
2.792 0.000 0.000
0.000 2.792 0.000
2.792 2.792 3.118
0.000 0.000 3.118
0.000 0.000 0.000
```

Results
Symmetry ... P4/mmm
Final energy ... -2.51 eV/atom

***

5.
## BaTa2Tl (PBEsol)

Data for a relaxed structure of BaTa2Tl.

Structure (POSCAR):
```
BaTa2Tl
1.0
-1.080 -2.707 1.001
4.703 -2.276 -1.083
1.772 1.204 5.167
Ta Ba Tl
2 1 1
Cartesian
0.346 -0.752 3.084
0.000 0.000 0.000
3.238 -0.536 2.042
1.812 -2.492 -0.041
```

Results
Relative energy among the computed polymorphs ... 0.5538 eV/atom
Symmetry ... Pmmm

***

6.
## BaTa2Tl (PBEsol)

Data for a relaxed structure of BaTa2Tl.

Structure (POSCAR):
```
BaTa2Tl
1.0
3.334 0.000 0.000
1.667 2.888 0.000
1.667 0.963 10.225
Tl Ta Ba
1 2 1
Cartesian
3.334 1.925 5.495
5.001 2.888 7.877
1.667 0.963 9.733
1.667 0.963 2.457
```

Results
Relative energy among the computed polymorphs ... 0.2054 eV/atom
Symmetry ... R3m

***

7.
## BaTa2Tl (PBEsol)

Data for a relaxed structure of BaTa2Tl.

Structure (POSCAR):
```
BaTa2Tl
1.0
-3.431 -0.346 0.627
0.696 -0.885 3.320
-0.398 7.920 2.196
Tl Ta Ba
1 2 1
Cartesian
-0.178 3.532 0.979
-0.031 0.622 0.172
-1.454 1.095 2.448
-1.670 5.399 3.641
```

Results
Relative energy among the computed polymorphs ... 0.0000 eV/atom
Symmetry ... P4mm

***

8.
## BaTaTl (PBEsol)

Data for a relaxed structure of BaTaTl.

Structure (POSCAR):
```
BaTaTl
1.0
-3.701 -1.004 0.082
0.858 -2.979 2.259
0.601 5.413 3.654
Ba Tl Ta
1 1 1
Cartesian
-2.243 1.430 5.994
-0.469 1.953 2.754
-1.774 -0.523 3.241
```

Results
Symmetry ... I4mm
Final energy ... -5.06 eV/atom

***

Which V belongs to each record? In order, 23.31; 24.72; 25.58; 38.90; 22.99; 24.61; 25.28; 29.29 A^3/atom.